# 1
Computed, not measured: a relaxed PrPaTeN2 crystal at the PBE level of DFT.

Cell: 4.0334 4.0334 7.0581 Å, 106.60 106.60 90.00°
Last column: nearest neighbours and their distance in Å.
Fractional positions:
1 N 0.2399 0.7399 0.4798  2 Pa 2.21, 2 Pr 2.43
2 N 0.7399 0.2399 0.4798  2 Pa 2.21, 2 Pr 2.43
3 Pa 0.1695 0.1695 0.3390  4 N 2.21
4 Pr 0.8444 0.8444 0.6889  4 N 2.43
5 Te 0.5062 0.5062 0.0125  4 Pr 3.54, 4 Pa 3.55, 4 N 3.63

Values from the calculation:
* energy relative to the elements, uncorrected: -8.3 eV per formula unit
* crystal system: tetragonal

# 2
Computed, not measured: a relaxed LiPb2 crystal at the PBE level of DFT.

Cell: 6.9466 6.8716 7.4087 Å, 90.00 117.96 90.00°
Last column: nearest neighbours and their distance in Å.
Fractional positions:
1 Pb 0.6714 0.3259 0.0000  4 Li 2.96-2.99
2 Pb 0.1714 0.1741 0.0000  4 Li 2.96-2.99
3 Pb 0.4878 0.7500 0.5000  4 Li 2.96-3.05
4 Pb 0.0122 0.2500 0.5000  4 Li 2.96-3.05
5 Pb 0.9878 0.7500 0.5000  4 Li 2.96-3.05
6 Pb 0.3286 0.6741 0.0000  4 Li 2.96-2.99
7 Pb 0.8286 0.8259 0.0000  4 Li 2.96-2.99
8 Pb 0.5122 0.2500 0.5000  4 Li 2.96-3.05
9 Li 0.1165 0.5000 0.2330  8 Pb 2.96-3.05, 1 Li 3.05
10 Li 0.3835 0.0000 0.7670  8 Pb 2.96-3.05, 1 Li 3.05
11 Li 0.8835 0.5000 0.7670  8 Pb 2.96-3.05, 1 Li 3.05
12 Li 0.6165 0.0000 0.2330  8 Pb 2.96-3.05, 1 Li 3.05

Values from the calculation:
* energy relative to the lowest polymorph listed for this composition: 65 meV/atom
* crystal system: orthorhombic
* formation energy: -0.105 eV/atom

# 3
Computed, not measured: a relaxed NiSn2Os crystal at the PBE level of DFT.

Cell: 3.0447 3.0447 9.4268 Å, 80.71 80.71 60.00°
Last column: nearest neighbours and their distance in Å.
Fractional positions:
1 Sn 0.0954 0.0954 0.7138  3 Ni 2.65, 1 Os 2.65
2 Sn 0.9046 0.9046 0.2862  3 Ni 2.65, 1 Os 2.65
3 Ni 0.5000 0.5000 0.5000  6 Sn 2.65
4 Os 0.0000 0.0000 0.0000  2 Sn 2.65

Values from the calculation:
* energy relative to the lowest polymorph listed for this composition: 331 meV/atom
* crystal system: trigonal
* formation energy: 0.615 eV/atom

# 4
Computed, not measured: a relaxed LiP2Cl crystal at the PBE level of DFT.

Cell: 3.2444 3.5193 8.6357 Å, 81.76 90.00 90.00°
Last column: nearest neighbours and their distance in Å.
Fractional positions:
1 P 0.0000 0.9520 0.0788  2 P 2.15
2 P 0.5000 0.0349 0.2343  2 P 2.15
3 Li 0.5000 0.0100 0.5839  4 Cl 2.40
4 Cl 0.0000 0.5030 0.6030  4 Li 2.40

Values from the calculation:
* energy relative to the elements, uncorrected: -2.5 eV per formula unit
* energy relative to the lowest polymorph listed for this composition: 100 meV/atom
* crystal system: monoclinic

# 5
Computed, not measured: a relaxed Sc3H12Pt5 crystal at the PBE level of DFT.

Cell: 9.9328 9.9328 9.9328 Å, 109.47 109.47 109.47°
Last column: nearest neighbours and their distance in Å.
Fractional positions:
1 Pt 0.0000 0.0000 0.0000  6 H 1.84
2 Pt 0.0000 0.5000 0.5000  6 H 1.84
3 Pt 0.0000 0.0000 0.5000  6 H 1.84
4 Pt 0.1250 0.7500 0.3750  4 H 1.76
5 Pt 0.5000 0.0000 0.5000  6 H 1.84
6 Pt 0.5000 0.5000 0.0000  6 H 1.84
7 Pt 0.3750 0.1250 0.7500  4 H 1.76
8 Pt 0.6250 0.7500 0.8750  4 H 1.76
9 Pt 0.1250 0.3750 0.2500  4 H 1.76
10 Pt 0.0000 0.5000 0.0000  6 H 1.84
11 Pt 0.5000 0.0000 0.0000  6 H 1.84
12 Pt 0.7500 0.6250 0.3750  4 H 1.76
13 Pt 0.5000 0.5000 0.5000  6 H 1.84
14 Pt 0.3750 0.2500 0.1250  4 H 1.76
15 Pt 0.2500 0.3750 0.6250  4 H 1.76
16 Pt 0.2500 0.8750 0.1250  4 H 1.76
17 Pt 0.6250 0.8750 0.2500  4 H 1.76
18 Pt 0.7500 0.1250 0.8750  4 H 1.76
19 Pt 0.8750 0.6250 0.7500  4 H 1.76
20 Pt 0.8750 0.2500 0.6250  4 H 1.76
21 H 0.7954 0.4682 0.3762  2 Pt 1.76-1.84
22 H 0.4192 0.1238 0.5920  2 Pt 1.76-1.84
23 H 0.0920 0.1728 0.4682  2 Pt 1.76-1.84
24 H 0.9080 0.8272 0.5318  2 Pt 1.76-1.84
25 H 0.7046 0.5808 0.1728  2 Pt 1.76-1.84
26 H 0.8272 0.9192 0.2954  2 Pt 1.76-1.84
27 H 0.0920 0.9192 0.1238  2 Pt 1.76-1.84
28 H 0.7954 0.3272 0.9192  2 Pt 1.76-1.84
29 H 0.4192 0.2954 0.3272  2 Pt 1.76-1.84
30 H 0.5920 0.6238 0.4192  2 Pt 1.76-1.84
31 H 0.8762 0.2954 0.4682  2 Pt 1.76-1.84
32 H 0.6238 0.5920 0.9192  2 Pt 1.76-1.84
33 H 0.9192 0.8272 0.7954  2 Pt 1.76-1.84
34 H 0.4080 0.0318 0.3272  2 Pt 1.76-1.84
35 H 0.5808 0.8762 0.4080  2 Pt 1.76-1.84
36 H 0.3272 0.7954 0.4192  2 Pt 1.76-1.84
37 H 0.1728 0.0808 0.7046  2 Pt 1.76-1.84
38 H 0.1238 0.4192 0.0920  2 Pt 1.76-1.84
39 H 0.7046 0.1238 0.0318  2 Pt 1.76-1.84
40 H 0.2046 0.5318 0.6238  2 Pt 1.76-1.84
41 H 0.9682 0.5920 0.1728  2 Pt 1.76-1.84
42 H 0.4682 0.6728 0.0920  2 Pt 1.76-1.84
43 H 0.5318 0.2046 0.1238  2 Pt 1.76-1.84
44 H 0.6238 0.0318 0.2046  2 Pt 1.76-1.84
45 H 0.5318 0.3272 0.9080  2 Pt 1.76-1.84
46 H 0.8762 0.5808 0.9080  2 Pt 1.76-1.84
47 H 0.4682 0.7954 0.8762  2 Pt 1.76-1.84
48 H 0.9080 0.0808 0.8762  2 Pt 1.76-1.84
49 H 0.9682 0.3762 0.2954  2 Pt 1.76-1.84
50 H 0.3272 0.5318 0.4080  2 Pt 1.76-1.84
51 H 0.8272 0.9080 0.0318  2 Pt 1.76-1.84
52 H 0.6728 0.4682 0.5920  2 Pt 1.76-1.84
53 H 0.1238 0.7046 0.5318  2 Pt 1.76-1.84
54 H 0.0808 0.9080 0.3762  2 Pt 1.76-1.84
55 H 0.3762 0.4080 0.0808  2 Pt 1.76-1.84
56 H 0.2954 0.8762 0.9682  2 Pt 1.76-1.84
57 H 0.3762 0.9682 0.7954  2 Pt 1.76-1.84
58 H 0.0808 0.1728 0.2046  2 Pt 1.76-1.84
59 H 0.2954 0.4192 0.8272  2 Pt 1.76-1.84
60 H 0.2046 0.6728 0.0808  2 Pt 1.76-1.84
61 H 0.6728 0.2046 0.5808  2 Pt 1.76-1.84
62 H 0.1728 0.0920 0.9682  2 Pt 1.76-1.84
63 H 0.0318 0.4080 0.8272  2 Pt 1.76-1.84
64 H 0.0318 0.6238 0.7046  2 Pt 1.76-1.84
65 H 0.9192 0.0920 0.6238  2 Pt 1.76-1.84
66 H 0.5808 0.7046 0.6728  2 Pt 1.76-1.84
67 H 0.5920 0.9682 0.6728  2 Pt 1.76-1.84
68 H 0.4080 0.3762 0.5808  2 Pt 1.76-1.84
69 Sc 0.1250 0.2500 0.8750  8 H 2.17-2.26
70 Sc 0.7500 0.3750 0.1250  8 H 2.17-2.26
71 Sc 0.1250 0.8750 0.7500  8 H 2.17-2.26
72 Sc 0.2500 0.1250 0.3750  8 H 2.17-2.26
73 Sc 0.8750 0.1250 0.2500  8 H 2.17-2.26
74 Sc 0.7500 0.8750 0.6250  8 H 2.17-2.26
75 Sc 0.8750 0.7500 0.1250  8 H 2.17-2.26
76 Sc 0.3750 0.6250 0.2500  8 H 2.17-2.26
77 Sc 0.6250 0.2500 0.3750  8 H 2.17-2.26
78 Sc 0.2500 0.6250 0.8750  8 H 2.17-2.26
79 Sc 0.3750 0.7500 0.6250  8 H 2.17-2.26
80 Sc 0.6250 0.3750 0.7500  8 H 2.17-2.26

Values from the calculation:
* crystal system: cubic

# 6
Computed, not measured: a relaxed HgBi3 crystal at the PBE level of DFT.

Cell: 4.9471 4.9471 4.9471 Å, 90.00 90.00 90.00°
Last column: nearest neighbours and their distance in Å.
Fractional positions:
1 Bi 0.5000 0.5000 0.0000  8 Bi 3.50, 4 Hg 3.50
2 Bi 0.5000 0.0000 0.5000  8 Bi 3.50, 4 Hg 3.50
3 Bi 0.0000 0.5000 0.5000  4 Hg 3.50, 8 Bi 3.50
4 Hg 0.0000 0.0000 0.0000  12 Bi 3.50

Values from the calculation:
* energy relative to the lowest polymorph listed for this composition: 26 meV/atom
* crystal system: cubic
* formation energy: 0.115 eV/atom

In order of appearance, density = 8.341; 8.959; 10.861; 1.776; 9.882; 11.349 Mg/m³.
In order of appearance, total energy = -8.467; -3.215; -5.640; -4.269; -4.731; -2.871 eV per atom.